Computed, not measured: a geometry-optimized DyZn6Ru2 structure at the PBE level of DFT.

Summary:
SG	Immm
formation enthalpy at 0 K	-0.049	eV per atom

a = 6.948 Å, b = 6.948 Å, c = 6.948 Å
α = 143.17°, β = 130.62°, γ = 63.16°
Element x y z (fractional)
Dy 0.000 0.000 0.000
Zn 0.057 0.296 0.761
Zn 0.299 0.500 0.799
Zn 0.465 0.704 0.761
Zn 0.535 0.296 0.239
Zn 0.701 0.500 0.201
Zn 0.943 0.704 0.239
Ru 0.390 0.890 0.500
Ru 0.610 0.110 0.500

Computed, not measured: a geometry-optimized TcHgC2Se structure at the PBE level of DFT.

Summary:
SG	P4/mmm
energy above the most stable polymorph in this dataset	0.0000	eV/atom
energy relative to the elements, uncorrected	2419	meV/atom

a = 4.023 Å, b = 4.023 Å, c = 4.881 Å
α = 90.00°, β = 90.00°, γ = 90.00°
Element x y z (fractional)
Tc 0.000 0.000 0.000
Hg 0.500 0.500 0.000
C 0.000 0.500 0.500
C 0.500 0.000 0.500
Se 0.000 0.000 0.500

Computed, not measured: a geometry-optimized Mn3PtW structure at the PBE level of DFT.

Summary:
SG	Pm-3m
formation enthalpy at 0 K	1.393	eV per atom

a = 4.534 Å, b = 4.534 Å, c = 4.534 Å
α = 90.00°, β = 90.00°, γ = 90.00°
Element x y z (fractional)
Mn 0.000 0.000 0.500
Mn 0.000 0.500 0.000
Mn 0.500 0.000 0.000
Pt 0.500 0.500 0.500
W 0.000 0.000 0.000

Computed, not measured: a geometry-optimized Pm2TiTe5 structure at the PBE level of DFT.

Summary:
SG	Cm
energy relative to the elements, uncorrected	-941	meV/atom

a = 9.494 Å, b = 9.253 Å, c = 7.052 Å
α = 90.00°, β = 121.80°, γ = 90.00°
Element x y z (fractional)
Pm 0.000 0.242 0.000
Pm 0.000 0.758 0.000
Pm 0.500 0.258 0.000
Pm 0.500 0.742 0.000
Ti 0.360 0.000 0.442
Ti 0.860 0.500 0.442
Te 0.050 0.000 0.338
Te 0.163 0.500 0.857
Te 0.272 0.000 0.999
Te 0.328 0.289 0.485
Te 0.328 0.711 0.485
Te 0.550 0.500 0.338
Te 0.663 0.000 0.857
Te 0.772 0.500 0.999
Te 0.828 0.211 0.485
Te 0.828 0.789 0.485

Computed, not measured: a geometry-optimized YTm2In structure at the PBE level of DFT.

Summary:
SG	P4/mmm
energy above the most stable polymorph in this dataset	0.0259	eV/atom
formation enthalpy at 0 K	-0.236	eV per atom

a = 3.564 Å, b = 3.564 Å, c = 9.076 Å
α = 90.00°, β = 90.00°, γ = 90.00°
Element x y z (fractional)
Y 0.000 0.000 0.000
Tm 0.500 0.500 0.274
Tm 0.500 0.500 0.726
In 0.000 0.000 0.500

Computed, not measured: a geometry-optimized MgScFe structure at the PBE level of DFT.

Summary:
SG	F-43m
formation enthalpy at 0 K	0.424	eV per atom

a = 6.251 Å, b = 6.251 Å, c = 6.251 Å
α = 90.00°, β = 90.00°, γ = 90.00°
Element x y z (fractional)
Mg 0.000 0.000 0.000
Mg 0.000 0.500 0.500
Mg 0.500 0.000 0.500
Mg 0.500 0.500 0.000
Sc 0.000 0.000 0.500
Sc 0.000 0.500 0.000
Sc 0.500 0.000 0.000
Sc 0.500 0.500 0.500
Fe 0.250 0.250 0.250
Fe 0.250 0.750 0.750
Fe 0.750 0.250 0.750
Fe 0.750 0.750 0.250

Computed, not measured: a geometry-optimized PuNpBi2 structure at the PBE level of DFT.

Summary:
SG	P4/mmm
energy above the most stable polymorph in this dataset	0.0032	eV/atom
formation enthalpy at 0 K	-0.121	eV per atom

a = 3.615 Å, b = 3.615 Å, c = 8.688 Å
α = 90.00°, β = 90.00°, γ = 90.00°
Element x y z (fractional)
Pu 0.000 0.000 0.000
Np 0.000 0.000 0.500
Bi 0.500 0.500 0.251
Bi 0.500 0.500 0.749

Computed, not measured: a geometry-optimized ZrMnSb3 structure at the PBE level of DFT.

Summary:
SG	Pm-3m
energy above the most stable polymorph in this dataset	0.0000	eV/atom
energy relative to the elements, uncorrected	454	meV/atom

a = 5.053 Å, b = 5.053 Å, c = 5.053 Å
α = 90.00°, β = 90.00°, γ = 90.00°
Element x y z (fractional)
Zr 0.000 0.000 0.000
Mn 0.500 0.500 0.500
Sb 0.000 0.500 0.500
Sb 0.500 0.000 0.500
Sb 0.500 0.500 0.000

Computed, not measured: a geometry-optimized In2CuAs structure at the PBE level of DFT.

Summary:
SG	C2/m
formation enthalpy at 0 K	0.207	eV per atom

a = 5.843 Å, b = 7.378 Å, c = 4.137 Å
α = 90.00°, β = 104.53°, γ = 90.00°
Element x y z (fractional)
In 0.250 0.250 0.000
In 0.250 0.750 0.000
In 0.750 0.250 0.000
In 0.750 0.750 0.000
Cu 0.000 0.000 0.500
Cu 0.500 0.500 0.500
As 0.000 0.500 0.500
As 0.500 0.000 0.500

Computed, not measured: a geometry-optimized Dy3Er4Tm5 structure at the PBE level of DFT.

Summary:
SG	P-1
energy above the most stable polymorph in this dataset	0.0000	eV/atom
formation enthalpy at 0 K	0.023	eV per atom

a = 6.058 Å, b = 7.007 Å, c = 8.564 Å
α = 89.95°, β = 89.94°, γ = 89.92°
Element x y z (fractional)
Dy 0.000 0.000 0.000
Dy 0.167 0.250 0.333
Dy 0.833 0.750 0.667
Er 0.167 0.750 0.333
Er 0.333 0.500 0.667
Er 0.667 0.500 0.333
Er 0.833 0.250 0.667
Tm 0.000 0.500 0.000
Tm 0.334 0.000 0.667
Tm 0.500 0.250 0.000
Tm 0.500 0.750 0.000
Tm 0.666 0.000 0.333

Computed, not measured: a geometry-optimized KScSnSe3 structure at the PBE level of DFT.

Summary:
SG	Cmcm
energy relative to the elements, uncorrected	-1107	meV/atom

a = 8.702 Å, b = 8.702 Å, c = 11.514 Å
α = 90.00°, β = 90.00°, γ = 153.91°
Element x y z (fractional)
K 0.185 0.815 0.750
K 0.815 0.185 0.250
Sc 0.500 0.500 0.000
Sc 0.500 0.500 0.500
Sn 0.119 0.881 0.250
Sn 0.881 0.119 0.750
Se 0.109 0.891 0.502
Se 0.109 0.891 0.998
Se 0.492 0.508 0.750
Se 0.508 0.492 0.250
Se 0.891 0.109 0.002
Se 0.891 0.109 0.498

Computed, not measured: a geometry-optimized Pr3DySc structure at the PBE level of DFT.

Summary:
SG	C2/c
energy above the most stable polymorph in this dataset	0.0000	eV/atom
formation enthalpy at 0 K	0.143	eV per atom

a = 8.932 Å, b = 8.932 Å, c = 9.002 Å
α = 90.69°, β = 90.69°, γ = 113.39°
Element x y z (fractional)
Pr 0.040 0.464 0.685
Pr 0.068 0.787 0.910
Pr 0.213 0.932 0.590
Pr 0.280 0.573 0.083
Pr 0.427 0.720 0.417
Pr 0.464 0.040 0.185
Pr 0.536 0.960 0.815
Pr 0.573 0.280 0.583
Pr 0.720 0.427 0.917
Pr 0.787 0.068 0.410
Pr 0.932 0.213 0.090
Pr 0.960 0.536 0.315
Dy 0.208 0.295 0.428
Dy 0.295 0.208 0.928
Dy 0.705 0.792 0.072
Dy 0.792 0.705 0.572
Sc 0.066 0.934 0.250
Sc 0.440 0.560 0.750
Sc 0.560 0.440 0.250
Sc 0.934 0.066 0.750

Computed, not measured: a geometry-optimized TlFeTeW structure at the PBE level of DFT.

Summary:
SG	Pm
energy above the most stable polymorph in this dataset	0.0112	eV/atom
energy relative to the elements, uncorrected	406	meV/atom

a = 3.235 Å, b = 3.236 Å, c = 8.451 Å
α = 90.00°, β = 90.10°, γ = 90.00°
Element x y z (fractional)
Tl 0.000 0.000 0.000
Fe 0.499 0.500 0.777
Te 0.497 0.500 0.421
W 0.998 0.000 0.618

Computed, not measured: a geometry-optimized PmSnHRh2 structure at the PBE level of DFT.

Summary:
electronic total energy	-59.880	eV/cell
SG	Cmcm

a = 6.253 Å, b = 6.253 Å, c = 7.655 Å
α = 90.00°, β = 90.00°, γ = 145.41°
Element x y z (fractional)
Pm 0.030 0.970 0.750
Pm 0.970 0.030 0.250
Sn 0.243 0.757 0.250
Sn 0.757 0.243 0.750
H 0.500 0.500 0.000
H 0.500 0.500 0.500
Rh 0.358 0.642 0.552
Rh 0.358 0.642 0.948
Rh 0.642 0.358 0.052
Rh 0.642 0.358 0.448

Computed, not measured: a geometry-optimized Ba3Li7Ag2 structure at the PBE level of DFT.

Summary:
SG	R-3m
formation enthalpy at 0 K	-0.056	eV per atom

a = 10.599 Å, b = 10.599 Å, c = 10.599 Å
α = 34.60°, β = 34.60°, γ = 34.60°
Element x y z (fractional)
Ba 0.000 0.000 0.000
Ba 0.145 0.145 0.145
Ba 0.855 0.855 0.855
Li 0.077 0.570 0.570
Li 0.430 0.430 0.923
Li 0.430 0.923 0.430
Li 0.500 0.500 0.500
Li 0.570 0.077 0.570
Li 0.570 0.570 0.077
Li 0.923 0.430 0.430
Ag 0.332 0.332 0.332
Ag 0.668 0.668 0.668

Computed, not measured: a geometry-optimized Tb3Ge7Os2 structure at the PBE level of DFT.

Summary:
SG	Cmmm
formation enthalpy at 0 K	-0.504	eV per atom

a = 12.980 Å, b = 12.980 Å, c = 4.305 Å
α = 90.00°, β = 90.00°, γ = 160.66°
Element x y z (fractional)
Tb 0.000 0.000 0.000
Tb 0.318 0.682 0.500
Tb 0.682 0.318 0.500
Ge 0.084 0.916 0.500
Ge 0.222 0.778 0.000
Ge 0.415 0.585 0.000
Ge 0.500 0.500 0.500
Ge 0.585 0.415 0.000
Ge 0.778 0.222 0.000
Ge 0.916 0.084 0.500
Os 0.128 0.872 0.000
Os 0.872 0.128 0.000

Computed, not measured: a geometry-optimized YTlCr structure at the PBE level of DFT.

Summary:
SG	P3m1
energy above the most stable polymorph in this dataset	0.3095	eV/atom
formation enthalpy at 0 K	0.423	eV per atom

a = 3.515 Å, b = 3.515 Å, c = 7.071 Å
α = 90.00°, β = 90.00°, γ = 120.00°
Element x y z (fractional)
Y 0.000 0.000 0.000
Tl 0.333 0.667 0.633
Cr 0.667 0.333 0.332

Computed, not measured: a geometry-optimized LaErCoAu structure at the PBE level of DFT.

Summary:
SG	F-43m
formation enthalpy at 0 K	-0.362	eV per atom

a = 7.135 Å, b = 7.135 Å, c = 7.135 Å
α = 90.00°, β = 90.00°, γ = 90.00°
Element x y z (fractional)
La 0.000 0.000 0.000
La 0.000 0.500 0.500
La 0.500 0.000 0.500
La 0.500 0.500 0.000
Er 0.000 0.000 0.500
Er 0.000 0.500 0.000
Er 0.500 0.000 0.000
Er 0.500 0.500 0.500
Co 0.250 0.250 0.250
Co 0.250 0.750 0.750
Co 0.750 0.250 0.750
Co 0.750 0.750 0.250
Au 0.250 0.250 0.750
Au 0.250 0.750 0.250
Au 0.750 0.250 0.250
Au 0.750 0.750 0.750

Computed, not measured: a geometry-optimized Ho2SnH structure at the PBE level of DFT.

Summary:
SG	P2_1/c
energy above the most stable polymorph in this dataset	0.1666	eV/atom

a = 8.451 Å, b = 6.381 Å, c = 6.536 Å
α = 90.00°, β = 99.02°, γ = 90.00°
Element x y z (fractional)
Ho 0.055 0.151 0.311
Ho 0.055 0.349 0.811
Ho 0.318 0.639 0.543
Ho 0.318 0.861 0.043
Ho 0.682 0.139 0.957
Ho 0.682 0.361 0.457
Ho 0.945 0.651 0.189
Ho 0.945 0.849 0.689
Sn 0.365 0.136 0.627
Sn 0.365 0.364 0.127
Sn 0.635 0.636 0.873
Sn 0.635 0.864 0.373
H 0.085 0.670 0.930
H 0.085 0.830 0.430
H 0.915 0.170 0.570
H 0.915 0.330 0.070

Computed, not measured: a geometry-optimized Th6CoOs2S3 structure at the PBE level of DFT.

Summary:
SG	C2/m
energy relative to the elements, uncorrected	-1043	meV/atom

a = 6.998 Å, b = 6.998 Å, c = 7.506 Å
α = 98.96°, β = 98.96°, γ = 119.98°
Element x y z (fractional)
Th 0.074 0.403 0.223
Th 0.255 0.255 0.777
Th 0.403 0.074 0.223
Th 0.597 0.926 0.777
Th 0.745 0.745 0.223
Th 0.926 0.597 0.777
Co 0.000 0.000 0.000
Os 0.333 0.667 0.000
Os 0.667 0.333 0.000
S 0.167 0.833 0.500
S 0.500 0.500 0.500
S 0.833 0.167 0.500